Entry from Alexandria: TbNiSn after structural relaxation (PBE-GGA).

Cell: 4.5072 7.6846 14.4835 Å, 90.00 90.00 90.00°
Sites, in units of the cell vectors:
Tb: 0.5000 0.7864 0.2549
Tb: 0.5000 0.7083 0.5000
Tb: 0.0000 0.2136 0.7549
Tb: 0.5000 0.7122 0.0000
Tb: 0.0000 0.2136 0.2451
Tb: 0.0000 0.2917 0.0000
Tb: 0.5000 0.7864 0.7451
Tb: 0.0000 0.2878 0.5000
Ni: 0.5000 0.0792 0.6086
Ni: 0.0000 0.5826 0.3455
Ni: 0.5000 0.4174 0.1545
Ni: 0.5000 0.4174 0.8455
Ni: 0.0000 0.5826 0.6545
Ni: 0.0000 0.9208 0.1086
Ni: 0.0000 0.9208 0.8914
Ni: 0.5000 0.0792 0.3914
Sn: 0.0000 0.5897 0.1490
Sn: 0.0000 0.9129 0.3951
Sn: 0.5000 0.0871 0.1049
Sn: 0.5000 0.4103 0.3510
Sn: 0.5000 0.4103 0.6490
Sn: 0.0000 0.9129 0.6049
Sn: 0.0000 0.5897 0.8510
Sn: 0.5000 0.0871 0.8951

Crystal system: orthorhombic
DFT formation energy (meV/atom): -642
Final energy (eV for the cell shown): -130.72